# KZrSc (PBE, relaxed)
# - DOS at the Fermi energy (states/eV/f.u.) = 6.8
# - formation energy from the elements (meV per atom) = 1932.6
# - offset from the most stable computed form (eV per formula unit) = 4.899
# - total magnetic moment (μB/atom) = 0.000
# - crystal system = hexagonal
# - space group = P6_3/mmc (194)
data_KZrSc
_space_group_name_H-M_alt 'P 1'
_space_group_IT_number 1
_space_group_name_Hall 'P 1'
_cell_length_a 5.922
_cell_length_b 5.922
_cell_length_c 10.369
_cell_angle_alpha 90.00
_cell_angle_beta 90.00
_cell_angle_gamma 120.00
loop_
_atom_site_label
_atom_site_type_symbol
_atom_site_fract_x
_atom_site_fract_y
_atom_site_fract_z
Zr1 Zr 0.000 0.000 0.000
Zr2 Zr 0.000 0.000 0.500
K1 K 0.667 0.333 0.750
K2 K 0.333 0.667 0.250
Sc1 Sc 0.000 0.000 0.250
Sc2 Sc 0.000 0.000 0.750